ScBe2Co: optimized geometry, PBE.

total magnetization = 0.0 μB/cell
DFT formation energy = 13.64 kJ per mole of atoms
calculated total energy = -5.0811 eV per atom
energy above the most stable polymorph in this dataset = 1.374 eV/f.u.

Geometry as CIF:
```
data_ScBe2Co
_cell_length_a 7.9257
_cell_length_b 7.9257
_cell_length_c 7.9257
_cell_angle_alpha 151.48
_cell_angle_beta 151.48
_cell_angle_gamma 40.77
_symmetry_space_group_name_H-M 'P 1'
_symmetry_Int_Tables_number 1
loop_
_symmetry_equiv_pos_as_xyz
'x,y,z'
loop_
_atom_site_label
_atom_site_type_symbol
_atom_site_fract_x
_atom_site_fract_y
_atom_site_fract_z
Sc1 Sc 0.3750 0.6250 0.7500
Sc2 Sc 0.6250 0.3750 0.2500
Be1 Be 0.0000 0.0000 0.0000
Be2 Be 0.0000 0.0000 0.5000
Be3 Be 0.0000 0.5000 0.0000
Be4 Be 0.5000 0.0000 0.5000
Co1 Co 0.1250 0.8750 0.2500
Co2 Co 0.8750 0.1250 0.7500
```

Pm2PaSb: optimized geometry, PBE.

formation energy from raw total energies = -298 meV/atom
total magnetization = 0.0 μB/cell
calculated total energy = -6.0783 eV per atom
energy above the most stable polymorph in this dataset = 0.000 eV/f.u.

Geometry as CIF:
```
data_Pm2PaSb
_cell_length_a 4.9013
_cell_length_b 4.9013
_cell_length_c 4.5863
_cell_angle_alpha 90.00
_cell_angle_beta 90.00
_cell_angle_gamma 90.00
_symmetry_space_group_name_H-M 'P 1'
_symmetry_Int_Tables_number 1
loop_
_symmetry_equiv_pos_as_xyz
'x,y,z'
loop_
_atom_site_label
_atom_site_type_symbol
_atom_site_fract_x
_atom_site_fract_y
_atom_site_fract_z
Pm1 Pm 0.0000 0.5000 0.0000
Pm2 Pm 0.5000 0.0000 0.0000
Pa1 Pa 0.0000 0.0000 0.5000
Sb1 Sb 0.5000 0.5000 0.5000
```

Pa2AlOs: optimized geometry, PBE.

total magnetization = 0.0 μB/cell
DFT formation energy = -1.76 kJ per mole of atoms
calculated total energy = -8.5093 eV per atom
energy above the most stable polymorph in this dataset = 0.932 eV/f.u.

Geometry as CIF:
```
data_Pa2AlOs
_cell_length_a 8.0650
_cell_length_b 8.0650
_cell_length_c 8.0650
_cell_angle_alpha 27.46
_cell_angle_beta 27.46
_cell_angle_gamma 27.46
_symmetry_space_group_name_H-M 'P 1'
_symmetry_Int_Tables_number 1
loop_
_symmetry_equiv_pos_as_xyz
'x,y,z'
loop_
_atom_site_label
_atom_site_type_symbol
_atom_site_fract_x
_atom_site_fract_y
_atom_site_fract_z
Pa1 Pa 0.2377 0.2377 0.2377
Pa2 Pa 0.7623 0.7623 0.7623
Al1 Al 0.0000 0.0000 0.0000
Os1 Os 0.5000 0.5000 0.5000
```

Y3Hg7: optimized geometry, PBE.

total magnetization = 0.0 μB/cell
DFT formation energy = -35.81 kJ per mole of atoms
calculated total energy = -2.5216 eV per atom

Geometry as CIF:
```
data_Y3Hg7
_cell_length_a 8.6181
_cell_length_b 8.6181
_cell_length_c 6.4182
_cell_angle_alpha 107.23
_cell_angle_beta 107.23
_cell_angle_gamma 32.89
_symmetry_space_group_name_H-M 'P 1'
_symmetry_Int_Tables_number 1
loop_
_symmetry_equiv_pos_as_xyz
'x,y,z'
loop_
_atom_site_label
_atom_site_type_symbol
_atom_site_fract_x
_atom_site_fract_y
_atom_site_fract_z
Y1 Y 0.0000 0.0000 0.0000
Y2 Y 0.1997 0.1997 0.6499
Y3 Y 0.8003 0.8003 0.3501
Hg1 Hg 0.0000 0.0000 0.5000
Hg2 Hg 0.1957 0.1957 0.1446
Hg3 Hg 0.3940 0.3940 0.1472
Hg4 Hg 0.4021 0.4021 0.6575
Hg5 Hg 0.5979 0.5979 0.3425
Hg6 Hg 0.6060 0.6060 0.8528
Hg7 Hg 0.8043 0.8043 0.8554
```

Tb8Ga2Pb: optimized geometry, PBE.

total magnetization = 0.0 μB/cell
DFT formation energy = -28.95 kJ per mole of atoms
calculated total energy = -4.5550 eV per atom

Geometry as CIF:
```
data_Tb8Ga2Pb
_cell_length_a 8.8143
_cell_length_b 8.8143
_cell_length_c 7.9411
_cell_angle_alpha 110.34
_cell_angle_beta 110.34
_cell_angle_gamma 32.25
_symmetry_space_group_name_H-M 'P 1'
_symmetry_Int_Tables_number 1
loop_
_symmetry_equiv_pos_as_xyz
'x,y,z'
loop_
_atom_site_label
_atom_site_type_symbol
_atom_site_fract_x
_atom_site_fract_y
_atom_site_fract_z
Tb1 Tb 0.0504 0.0504 0.2324
Tb2 Tb 0.1671 0.1671 0.7474
Tb3 Tb 0.3211 0.3211 0.5535
Tb4 Tb 0.3978 0.3978 0.0399
Tb5 Tb 0.6022 0.6022 0.9601
Tb6 Tb 0.6789 0.6789 0.4465
Tb7 Tb 0.8329 0.8329 0.2526
Tb8 Tb 0.9496 0.9496 0.7676
Ga1 Ga 0.2157 0.2157 0.1630
Ga2 Ga 0.7843 0.7843 0.8370
Pb1 Pb 0.5000 0.5000 0.5000
```

PrTe2Pb: optimized geometry, PBE.

formation energy from raw total energies = -824 meV/atom
total magnetization = 0.0 μB/cell
calculated total energy = -4.5164 eV per atom

Geometry as CIF:
```
data_PrTe2Pb
_cell_length_a 3.9996
_cell_length_b 3.9996
_cell_length_c 7.7424
_cell_angle_alpha 90.00
_cell_angle_beta 90.00
_cell_angle_gamma 90.00
_symmetry_space_group_name_H-M 'P 1'
_symmetry_Int_Tables_number 1
loop_
_symmetry_equiv_pos_as_xyz
'x,y,z'
loop_
_atom_site_label
_atom_site_type_symbol
_atom_site_fract_x
_atom_site_fract_y
_atom_site_fract_z
Pr1 Pr 0.0000 0.0000 0.0000
Te1 Te 0.5000 0.5000 0.2341
Te2 Te 0.5000 0.5000 0.7659
Pb1 Pb 0.0000 0.0000 0.5000
```

BaLiPm2Tl4: optimized geometry, PBE.

total magnetization = 0.0 μB/cell
DFT formation energy = -29.48 kJ per mole of atoms
calculated total energy = -3.1560 eV per atom

Geometry as CIF:
```
data_BaLiPm2Tl4
_cell_length_a 10.9471
_cell_length_b 10.9471
_cell_length_c 10.9471
_cell_angle_alpha 27.98
_cell_angle_beta 27.98
_cell_angle_gamma 27.98
_symmetry_space_group_name_H-M 'P 1'
_symmetry_Int_Tables_number 1
loop_
_symmetry_equiv_pos_as_xyz
'x,y,z'
loop_
_atom_site_label
_atom_site_type_symbol
_atom_site_fract_x
_atom_site_fract_y
_atom_site_fract_z
Ba1 Ba 0.0000 0.0000 0.0000
Li1 Li 0.5000 0.5000 0.5000
Pm1 Pm 0.2301 0.2301 0.2301
Pm2 Pm 0.7699 0.7699 0.7699
Tl1 Tl 0.1275 0.1275 0.1275
Tl2 Tl 0.3989 0.3989 0.3989
Tl3 Tl 0.6011 0.6011 0.6011
Tl4 Tl 0.8725 0.8725 0.8725
```

Cs2NaHoCl6: optimized geometry, PBE.

formation energy from raw total energies = -2145 meV/atom
total magnetization = 0.0 μB/cell
calculated total energy = -4.0135 eV per atom

Geometry as CIF:
```
data_Cs2NaHoCl6
_cell_length_a 7.6957
_cell_length_b 7.6957
_cell_length_c 7.6957
_cell_angle_alpha 60.00
_cell_angle_beta 60.00
_cell_angle_gamma 60.00
_symmetry_space_group_name_H-M 'P 1'
_symmetry_Int_Tables_number 1
loop_
_symmetry_equiv_pos_as_xyz
'x,y,z'
loop_
_atom_site_label
_atom_site_type_symbol
_atom_site_fract_x
_atom_site_fract_y
_atom_site_fract_z
Cs1 Cs 0.2500 0.2500 0.2500
Cs2 Cs 0.7500 0.7500 0.7500
Na1 Na 0.0000 0.0000 0.0000
Ho1 Ho 0.5000 0.5000 0.5000
Cl1 Cl 0.2582 0.2582 0.7418
Cl2 Cl 0.2582 0.7418 0.2582
Cl3 Cl 0.2582 0.7418 0.7418
Cl4 Cl 0.7418 0.2582 0.2582
Cl5 Cl 0.7418 0.2582 0.7418
Cl6 Cl 0.7418 0.7418 0.2582
```

Li4PdO5: optimized geometry, PBE.

formation energy from raw total energies = -1186 meV/atom
total magnetization = 2.3 μB/cell
calculated total energy = -4.9495 eV per atom

Geometry as CIF:
```
data_Li4PdO5
_cell_length_a 5.0921
_cell_length_b 5.0921
_cell_length_c 5.0921
_cell_angle_alpha 99.78
_cell_angle_beta 99.78
_cell_angle_gamma 131.32
_symmetry_space_group_name_H-M 'P 1'
_symmetry_Int_Tables_number 1
loop_
_symmetry_equiv_pos_as_xyz
'x,y,z'
loop_
_atom_site_label
_atom_site_type_symbol
_atom_site_fract_x
_atom_site_fract_y
_atom_site_fract_z
Li1 Li 0.0939 0.6982 0.7922
Li2 Li 0.3018 0.0939 0.3957
Li3 Li 0.6982 0.9061 0.6043
Li4 Li 0.9061 0.3018 0.2078
Pd1 Pd 0.5000 0.5000 0.0000
O1 O 0.0000 0.0000 0.0000
O2 O 0.2140 0.4057 0.6197
O3 O 0.4057 0.7860 0.1917
O4 O 0.5943 0.2140 0.8083
O5 O 0.7860 0.5943 0.3803
```

Rb2CaMg: optimized geometry, PBE.

total magnetization = 0.0 μB/cell
DFT formation energy = 35.10 kJ per mole of atoms
calculated total energy = -1.0190 eV per atom

Geometry as CIF:
```
data_Rb2CaMg
_cell_length_a 8.8312
_cell_length_b 8.8312
_cell_length_c 8.8312
_cell_angle_alpha 99.67
_cell_angle_beta 99.67
_cell_angle_gamma 131.62
_symmetry_space_group_name_H-M 'P 1'
_symmetry_Int_Tables_number 1
loop_
_symmetry_equiv_pos_as_xyz
'x,y,z'
loop_
_atom_site_label
_atom_site_type_symbol
_atom_site_fract_x
_atom_site_fract_y
_atom_site_fract_z
Rb1 Rb 0.0692 0.1250 0.4442
Rb2 Rb 0.3750 0.9308 0.0558
Rb3 Rb 0.6808 0.6250 0.5558
Rb4 Rb 0.8750 0.3192 0.9442
Ca1 Ca 0.2500 0.7500 0.5000
Ca2 Ca 0.5000 0.5000 0.0000
Mg1 Mg 0.0000 0.0000 0.0000
Mg2 Mg 0.7500 0.2500 0.5000
```

Please write out number 10 again, unchanged.
Rb2CaMg: optimized geometry, PBE.

total magnetization = 0.0 μB/cell
DFT formation energy = 35.10 kJ per mole of atoms
calculated total energy = -1.0190 eV per atom

Geometry as CIF:
```
data_Rb2CaMg
_cell_length_a 8.8312
_cell_length_b 8.8312
_cell_length_c 8.8312
_cell_angle_alpha 99.67
_cell_angle_beta 99.67
_cell_angle_gamma 131.62
_symmetry_space_group_name_H-M 'P 1'
_symmetry_Int_Tables_number 1
loop_
_symmetry_equiv_pos_as_xyz
'x,y,z'
loop_
_atom_site_label
_atom_site_type_symbol
_atom_site_fract_x
_atom_site_fract_y
_atom_site_fract_z
Rb1 Rb 0.0692 0.1250 0.4442
Rb2 Rb 0.3750 0.9308 0.0558
Rb3 Rb 0.6808 0.6250 0.5558
Rb4 Rb 0.8750 0.3192 0.9442
Ca1 Ca 0.2500 0.7500 0.5000
Ca2 Ca 0.5000 0.5000 0.0000
Mg1 Mg 0.0000 0.0000 0.0000
Mg2 Mg 0.7500 0.2500 0.5000
```